DFT (PBE) results for crystalline BeP2CCl at its relaxed geometry.

As for the uncorrected energy: -19.4 eV/cell. The space group is P4/mmm, No. 123. The value obtained for the density of states at the Fermi level is 0.70 states/eV/atom.

Cell lengths 3.708, 3.708, 6.561 Å; angles 90.00, 90.00, 90.00 degrees
Site moments in Bohr magnetons follow the coordinates.
Fractional positions:
P (0.000, 0.500, 0.000)  0.00
P (0.500, 0.000, 0.000)  0.00
C (0.000, 0.000, 0.000)  0.01
Be (0.500, 0.500, 0.500)  0.10
Cl (0.000, 0.000, 0.500)  0.01